Entry 1:
DFT (PBE-GGA) results for a relaxed structure of Hf2MgAuCl.

N(E_F) in states/eV/f.u.: 1.7
Formation energy without anion corrections in eV/atom: 0.142

Cell lengths 4.6699, 4.6759, 4.6699 Å; angles 90.00, 90.00, 90.00 degrees
Fractional positions:
Hf 0.0000 0.0000 0.5000
Hf 0.5000 0.0000 0.0000
Mg 0.0000 0.5000 0.0000
Au 0.5000 0.5000 0.5000
Cl 0.0000 0.0000 0.0000


Entry 2:
DFT (PBE-GGA) results for a relaxed structure of Na2Al2Si.

N(E_F) in states/eV/f.u.: 2.9
Distance to the lowest polymorph of the same formula in eV/atom: 0.288
Formation energy without anion corrections in eV/atom: 0.426

Cell lengths 3.6510, 3.6510, 9.8421 Å; angles 79.31, 79.31, 90.00 degrees
Fractional positions:
Al 0.7500 0.2500 0.5000
Al 0.2500 0.7500 0.5000
Na 0.4049 0.4049 0.1903
Na 0.5951 0.5951 0.8097
Si 0.0000 0.0000 0.0000


- The highest N(E_F) belongs to which entry?
  Na2Al2Si


Repeat the second record exactly.
DFT (PBE-GGA) results for a relaxed structure of Na2Al2Si.

N(E_F) in states/eV/f.u.: 2.9
Distance to the lowest polymorph of the same formula in eV/atom: 0.288
Formation energy without anion corrections in eV/atom: 0.426

Cell lengths 3.6510, 3.6510, 9.8421 Å; angles 79.31, 79.31, 90.00 degrees
Fractional positions:
Al 0.7500 0.2500 0.5000
Al 0.2500 0.7500 0.5000
Na 0.4049 0.4049 0.1903
Na 0.5951 0.5951 0.8097
Si 0.0000 0.0000 0.0000